# SCAN AlSbTe2Rh, single point on PBEsol structure
data_AlSbTe2Rh
_chemical_formula_sum 'Al1 Sb1 Te2 Rh1'
_cell_length_a 5.106
_cell_length_b 5.106
_cell_length_c 5.034
_cell_angle_alpha 90.00
_cell_angle_beta 90.00
_cell_angle_gamma 90.00
_symmetry_space_group_name_H-M 'P 4/m m m'
_symmetry_Int_Tables_number 123
_symmetry_space_group_name_Hall '-P 4 2'
loop_
_atom_site_label
_atom_site_type_symbol
_atom_site_fract_x
_atom_site_fract_y
_atom_site_fract_z
_atom_site_occupancy
Al1 Al 0.000 0.000 0.000 1
Sb1 Sb 0.000 0.000 0.500 1
Te1 Te 0.000 0.500 0.000 1
Rh1 Rh 0.500 0.500 0.500 1
# Formation energy (no corrections) (eV/atom): 0.941
# DFT total energy (eV per atom): -29.72